[1]
Material: RuSe2IO
Method: DFT, GGA-PBE
State: relaxed

Summary:
* E_form (uncorrected): 0.880 eV per atom
* SG: P4/mmm

```
RuSe2IO
1.0
4.6683 0.0000 0.0000
0.0000 5.6943 0.0000
0.0000 0.0000 4.6683
I Ru O Se
1 1 1 2
Cartesian
0.0000 2.8472 0.0000 I
0.0000 0.0000 0.0000 Ru
2.3341 2.8472 2.3341 O
0.0000 0.0000 2.3341 Se
2.3341 0.0000 0.0000 Se
```

***

[2]
Material: Rb2Pa3InS8
Method: DFT, GGA-PBE
State: relaxed

Summary:
* E_form (uncorrected): -1.411 eV per atom
* SG: R3m

```
Rb2Pa3InS8
1.0
8.1975 0.0000 0.0000
4.0988 7.0993 0.0000
4.0988 2.3664 8.0978
Rb Pa In S
2 3 1 8
Cartesian
4.0988 2.3664 4.8321 Rb
8.1975 4.7328 4.1091 Rb
8.1975 7.1013 0.0366 Pa
10.2487 3.5486 0.0366 Pa
6.1464 3.5486 0.0366 Pa
12.2963 7.0993 2.8040 In
4.0987 2.3664 1.4838 S
12.2963 7.0993 6.7454 S
6.3501 3.6662 6.7212 S
10.0450 3.6662 6.7212 S
8.1975 6.8661 6.7212 S
8.1975 2.5398 1.4892 S
6.2983 5.8294 1.4892 S
10.0968 5.8294 1.4892 S
```

***

[3]
Material: Hf3Sb7Pd
Method: DFT, GGA-PBE
State: relaxed

Summary:
* E_form (uncorrected): -0.434 eV per atom
* SG: Pnma

```
Hf3Sb7Pd
1.0
3.9836 0.0000 0.0000
0.0000 14.6883 0.0000
0.0000 0.0000 17.6414
Hf Sb Pd
12 28 4
Cartesian
0.9959 4.5756 14.9588 Hf
0.9959 2.7686 6.1381 Hf
2.9877 10.1127 2.6826 Hf
2.9877 11.9197 11.5033 Hf
0.9959 0.4604 15.3381 Hf
0.9959 6.8837 6.5174 Hf
2.9877 14.2279 2.3033 Hf
2.9877 7.8046 11.1240 Hf
0.9959 8.6387 15.7503 Hf
0.9959 13.3937 6.9296 Hf
2.9877 6.0496 1.8911 Hf
2.9877 1.2946 10.7118 Hf
0.9959 2.8627 9.1674 Sb
0.9959 4.4814 0.3467 Sb
2.9877 11.8256 8.4740 Sb
2.9877 10.2069 17.2946 Sb
0.9959 6.3044 9.4671 Sb
0.9959 1.0398 0.6464 Sb
2.9877 8.3839 8.1743 Sb
2.9877 13.6485 16.9950 Sb
0.9959 13.8157 10.0967 Sb
0.9959 8.2168 1.2760 Sb
2.9877 0.8726 7.5447 Sb
2.9877 6.4715 16.3654 Sb
0.9959 9.9338 10.4941 Sb
0.9959 12.0986 1.6734 Sb
2.9877 4.7545 7.1473 Sb
2.9877 2.5897 15.9680 Sb
0.9959 2.1755 12.8330 Sb
0.9959 5.1687 4.0123 Sb
2.9877 12.5128 4.8084 Sb
2.9877 9.5197 13.6291 Sb
0.9959 7.0628 13.2045 Sb
0.9959 0.2814 4.3838 Sb
2.9877 7.6255 4.4369 Sb
2.9877 14.4069 13.2576 Sb
0.9959 12.0456 13.8078 Sb
0.9959 9.9869 4.9871 Sb
2.9877 2.6427 3.8336 Sb
2.9877 4.7014 12.6543 Sb
0.9959 11.8900 16.4889 Pd
0.9959 10.1425 7.6682 Pd
2.9877 2.7983 1.1525 Pd
2.9877 4.5458 9.9732 Pd
```

***

[4]
Material: La4HAu2
Method: DFT, GGA-PBE
State: relaxed

Summary:
* SG: P2_1/m

```
La4HAu2
1.0
-6.3745 -0.1939 -2.6010
2.2866 -4.7086 -5.2532
0.5087 -5.9360 5.5420
La H Au
8 2 4
Cartesian
-1.9371 -3.9511 -2.5476 La
1.6731 -8.8740 0.8306 La
-5.2523 -1.9644 -3.1428 La
-0.7987 -6.2952 -5.1628 La
-5.0162 -4.9723 -0.3439 La
-2.7805 -4.5432 2.8506 La
-1.6421 -6.8873 0.2354 La
1.4369 -5.8661 -1.9683 La
0.0907 -4.7311 -3.5717 H
-3.6699 -6.1073 1.2595 H
-2.8509 -3.9791 -5.5261 Au
-0.7283 -6.8593 3.2139 Au
-0.9790 -3.8523 0.4095 Au
-2.6002 -6.9861 -2.7217 Au
```

***

[5]
Material: UCrGa2
Method: DFT, GGA-PBE
State: relaxed

Summary:
* SG: R-3m

```
UCrGa2
1.0
2.8703 0.0000 0.0000
1.4351 2.4857 0.0000
1.4351 0.8286 9.3623
Cr U Ga
1 1 2
Cartesian
0.0000 0.0000 0.0000 Cr
2.8703 1.6571 4.6812 U
1.4351 0.8286 2.0357 Ga
4.3054 2.4857 7.3266 Ga
```

***

[6]
Material: InRe2Br
Method: DFT, GGA-PBE
State: relaxed

Summary:
* E_form (uncorrected): 1.321 eV per atom
* SG: P4/mmm

```
InRe2Br
1.0
3.1880 0.0000 0.0000
0.0000 3.1880 0.0000
0.0000 0.0000 6.6800
Re Br In
2 1 1
Cartesian
0.0000 0.0000 0.0734 Re
0.0000 0.0000 3.2666 Re
1.5940 1.5940 1.6700 Br
1.5940 1.5940 5.0100 In
```

***

[7]
Material: NpUNi10
Method: DFT, GGA-PBE
State: relaxed

Summary:
* SG: Pmmm

```
NpUNi10
1.0
-3.6944 1.4045 0.3547
-0.6693 -2.7501 3.9190
2.8257 6.2104 4.8406
Np U Ni
1 1 10
Cartesian
1.0782 1.7301 4.3798 Np
0.0000 0.0000 0.0000 U
0.9345 2.0539 1.6009 Ni
2.0266 3.8147 6.0046 Ni
0.1298 -0.3544 2.7551 Ni
1.8912 4.1565 3.2398 Ni
-0.4344 3.8075 2.5976 Ni
-2.1819 -0.6728 2.1368 Ni
-1.3140 1.5566 2.3487 Ni
-0.2241 3.3082 6.7656 Ni
-1.6509 0.1723 4.3214 Ni
0.1128 4.6925 4.7929 Ni
```

***

[8]
Material: Ca2TcBr
Method: DFT, GGA-PBE
State: relaxed

Summary:
* E_form (uncorrected): 0.221 eV per atom
* SG: I-4m2

```
Ca2TcBr
1.0
-6.0165 -1.8838 2.1227
-3.7083 -4.9252 -2.4987
6.1389 1.4760 2.0947
Ca Tc Br
2 1 1
Cartesian
0.0000 0.0000 0.0000 Ca
-1.2159 -3.4268 -0.2960 Ca
-4.8624 -3.4045 -0.1880 Tc
-2.3700 -1.9061 2.0147 Br
```

***

[9]
Material: LiErThAu
Method: DFT, GGA-PBE
State: relaxed

Summary:
* SG: F-43m

```
LiErThAu
1.0
5.1685 0.0000 0.0000
2.5842 4.4760 0.0000
2.5842 1.4920 4.2200
Li Au Th Er
1 1 1 1
Cartesian
5.1685 2.9840 2.1100 Li
0.0000 0.0000 0.0000 Au
7.7527 4.4760 3.1650 Th
2.5842 1.4920 1.0550 Er
```

***

[10]
Material: Li2Y2SnPd5
Method: DFT, GGA-PBE
State: relaxed

Summary:
* SG: P4/mbm

```
Li2Y2SnPd5
1.0
-0.4707 1.5176 3.4021
8.0138 -4.3419 3.0456
5.1650 7.6426 -2.6947
Li Y Sn Pd
4 4 2 10
Cartesian
4.1644 4.2175 -1.3053 Li
9.0143 -0.9168 1.6561 Li
9.5138 4.0330 -0.4829 Li
3.6649 -0.7324 0.8337 Li
6.3340 -1.5881 1.5847 Y
6.8447 4.8888 -1.2339 Y
3.0855 1.7051 -0.3337 Y
10.0932 1.5956 0.6846 Y
0.0000 0.0000 0.0000 Sn
6.5894 1.6503 0.1754 Sn
1.8006 0.3730 2.1548 Pd
10.9074 4.4454 1.5981 Pd
4.3966 6.4999 -0.2192 Pd
7.6804 0.9733 2.7005 Pd
8.3114 -1.6815 3.9721 Pd
5.0277 3.8450 1.0524 Pd
7.9880 3.7142 1.5204 Pd
4.7200 1.1041 2.2326 Pd
3.7715 -1.4121 3.2238 Pd
2.3471 4.5801 0.3537 Pd
```

***

[11]
Material: Zr4GeCN2
Method: DFT, GGA-PBE
State: relaxed

Summary:
* E_form (uncorrected): -0.815 eV per atom
* SG: I-42m

```
Zr4GeCN2
1.0
-0.3276 -5.8221 -1.3876
3.1193 -2.2943 -4.0569
3.8345 -3.7121 1.7230
Zr Ge C N
4 1 1 2
Cartesian
2.2005 -4.9818 -0.2256 Zr
4.5594 -4.4701 -2.9294 Zr
1.7748 -6.7797 -3.1514 Zr
4.7177 -7.4255 -1.1365 Zr
0.0000 0.0000 0.0000 Ge
3.3131 -5.9143 -1.8607 C
1.6567 -2.9571 -0.9304 N
4.9695 -8.8714 -2.7911 N
```

***

[12]
Material: In2TeO2
Method: DFT, GGA-PBE
State: relaxed

Summary:
* E_form (uncorrected): -0.398 eV per atom
* SG: P4/mbm

```
In2TeO2
1.0
7.6152 0.0000 0.0000
0.0000 7.6152 0.0000
0.0000 0.0000 3.0808
Te O In
2 4 4
Cartesian
0.0000 0.0000 0.0000 Te
3.8076 3.8076 0.0000 Te
0.8741 4.6817 1.5404 O
4.6817 6.7412 1.5404 O
6.7412 2.9335 1.5404 O
2.9335 0.8741 1.5404 O
2.8196 6.6272 0.0000 In
6.6272 4.7957 0.0000 In
4.7957 0.9881 0.0000 In
0.9881 2.8196 0.0000 In
```

***

[13]
Material: MoPS2Br
Method: DFT, GGA-PBE
State: relaxed

Summary:
* E_form (uncorrected): 0.211 eV per atom
* SG: P4/mmm

```
MoPS2Br
1.0
4.5912 0.0000 0.0000
0.0000 4.5912 0.0000
0.0000 0.0000 5.0138
P Mo S Br
1 1 2 1
Cartesian
0.0000 0.0000 2.5069 P
0.0000 0.0000 0.0000 Mo
0.0000 2.2956 0.0000 S
2.2956 0.0000 0.0000 S
2.2956 2.2956 2.5069 Br
```

***

[14]
Material: KP2Pd
Method: DFT, GGA-PBE
State: relaxed

Summary:
* SG: Fm-3m

```
KP2Pd
1.0
0.9013 -0.6119 4.5775
0.9455 3.7148 2.7288
-3.1262 1.4086 3.2223
P K Pd
2 1 1
Cartesian
-0.3199 1.1279 2.6321 P
-0.9596 3.3836 7.8964 P
0.0000 0.0000 0.0000 K
-0.6397 2.2557 5.2643 Pd
```

***

[15]
Material: YTaFe2
Method: DFT, GGA-PBE
State: relaxed

Summary:
* SG: Imm2

```
YTaFe2
1.0
5.6057 0.0197 -0.0140
3.0136 4.7267 0.0140
-3.8620 -3.1862 2.5214
Fe Ta Y
2 1 1
Cartesian
8.3617 4.6046 0.0000 Fe
3.2228 -0.2886 1.2537 Fe
4.4612 2.4567 0.0000 Ta
1.6406 1.9073 1.2677 Y
```

***

[16]
Material: BePtRh2
Method: DFT, GGA-PBE
State: relaxed

Summary:
* SG: P4/mmm

```
BePtRh2
1.0
2.7747 0.0000 0.0000
0.0000 2.7747 0.0000
0.0000 0.0000 6.6904
Be Rh Pt
1 2 1
Cartesian
1.3873 1.3873 1.6726 Be
0.0000 0.0000 0.3040 Rh
0.0000 0.0000 3.0412 Rh
1.3873 1.3873 5.0178 Pt
```

***

[17]
Material: KNb2ReSe
Method: DFT, GGA-PBE
State: relaxed

Summary:
* E_form (uncorrected): 1.057 eV per atom
* SG: P4/mmm

```
KNb2ReSe
1.0
-2.4944 -4.1811 -0.1789
4.1090 -2.3180 -3.1167
2.2313 -1.5050 4.0611
Re Nb K Se
1 2 1 1
Cartesian
0.0000 0.0000 0.0000 Re
1.1157 -0.7525 2.0305 Nb
-1.2472 -2.0906 -0.0895 Nb
1.9230 -4.0021 0.3827 K
2.0545 -1.1590 -1.5584 Se
```

***

[18]
Material: CsLiFe2
Method: DFT, GGA-PBE
State: relaxed

Summary:
* SG: Fm-3m

```
CsLiFe2
1.0
0.0000 3.3282 3.3282
3.3282 0.0000 3.3282
3.3282 3.3282 0.0000
Cs Fe Li
1 2 1
Cartesian
3.3282 3.3282 3.3282 Cs
1.6641 1.6641 1.6641 Fe
4.9923 4.9923 4.9923 Fe
0.0000 0.0000 0.0000 Li
```

***

[19]
Material: Pb3Cl2O2
Method: DFT, GGA-PBE
State: relaxed

Summary:
* E_form (uncorrected): -1.072 eV per atom
* SG: P-1

```
Pb3Cl2O2
1.0
-2.8711 -1.5919 -1.7747
4.8829 0.2388 -4.1885
1.5789 -6.9002 3.6536
Pb Cl O
3 2 2
Cartesian
0.0000 0.0000 0.0000 Pb
0.8108 -2.5355 -2.9611 Pb
2.7798 -5.7179 0.6515 Pb
2.1976 -5.7371 -2.3141 Cl
1.3931 -2.5163 0.0045 Cl
1.0874 -7.5695 1.1254 O
2.5033 -0.6838 -3.4350 O
```

***

[20]
Material: Ca3Sm3DyS8
Method: DFT, GGA-PBE
State: relaxed

Summary:
* E_form (uncorrected): -2.085 eV per atom
* SG: R-3m

```
Ca3Sm3DyS8
1.0
8.0010 0.0000 0.0000
-4.0005 6.9296 -0.0238
0.0000 -4.5965 6.6111
Ca Sm Dy S
3 3 1 8
Cartesian
0.0000 0.0000 0.0000 Ca
-2.0002 3.4648 -0.0119 Ca
2.0002 3.4648 -0.0119 Ca
4.0005 -2.2982 3.3055 Sm
2.0002 1.1666 3.2936 Sm
-2.0002 1.1666 3.2936 Sm
0.0000 -2.2982 3.3055 Dy
0.0000 2.3156 1.6322 S
4.0005 0.0176 4.9551 S
4.0005 2.3747 1.7007 S
0.0000 -0.0416 4.8866 S
6.0519 -1.1786 1.7131 S
-2.0514 3.5117 4.8742 S
1.9490 -1.1786 1.7131 S
2.0514 3.5117 4.8742 S
```

***

| no. | total energy (eV/atom) |
| --- | --- |
| 1 | -3.671 |
| 2 | -6.139 |
| 3 | -6.244 |
| 4 | -4.803 |
| 5 | -6.650 |
| 6 | -6.006 |
| 7 | -7.008 |
| 8 | -3.790 |
| 9 | -4.523 |
| 10 | -5.371 |
| 11 | -8.901 |
| 12 | -4.105 |
| 13 | -5.022 |
| 14 | -3.878 |
| 15 | -8.546 |
| 16 | -6.419 |
| 17 | -6.377 |
| 18 | -3.315 |
| 19 | -4.606 |
| 20 | -5.937 |